(1)
A geometry-optimized LiDyS2 structure. Source: Alexandria, functional PBEsol.

## Properties
ΔE_f (raw) = -1888 meV per atom
theoretical density = 4.96 g/cm³
D(E_F) = 0.0 states/eV/cell
magnetization = 0.00 μB/f.u.
energy = -5.816 eV/atom
space-group type = No. 166

a b c (Å): 6.461 6.461 6.461
angles (deg): 34.76 34.76 34.76
Positions (direct):
Li 0.000 0.000 0.000
Dy 0.500 0.500 0.500
S 0.251 0.251 0.251
S 0.749 0.749 0.749

---

(2)
A geometry-optimized LiDyS2 structure. Source: Alexandria, functional PBEsol.

## Properties
ΔE_f (raw) = -1811 meV per atom
theoretical density = 4.95 g/cm³
D(E_F) = 0.2 states/eV/cell
magnetization = 0.00 μB/f.u.
energy = -5.740 eV/atom
space-group type = No. 123

a b c (Å): 3.858 3.858 5.270
angles (deg): 90.00 90.00 90.00
Positions (direct):
Li 0.000 0.000 0.000
Dy 0.500 0.500 0.500
S 0.000 0.000 0.500
S 0.500 0.500 0.000

---

(3)
A geometry-optimized Li3DySb2 structure. Source: Alexandria, functional PBEsol.

## Properties
ΔE_f (raw) = -838 meV per atom
theoretical density = 5.77 g/cm³
D(E_F) = 0.3 states/eV/cell
magnetization = 0.00 μB/f.u.
energy = -4.171 eV/atom
space-group type = No. 164

a b c (Å): 4.491 4.491 7.040
angles (deg): 90.00 90.00 120.00
Positions (direct):
Li 0.000 0.000 0.000
Li 0.333 0.667 0.152
Li 0.667 0.333 0.848
Dy 0.000 0.000 0.500
Sb 0.333 0.667 0.747
Sb 0.667 0.333 0.253

---

(4)
A geometry-optimized LiDySe2 structure. Source: Alexandria, functional PBEsol.

## Properties
ΔE_f (raw) = -1705 meV per atom
theoretical density = 6.12 g/cm³
D(E_F) = 0.0 states/eV/cell
magnetization = 0.00 μB/f.u.
energy = -5.367 eV/atom
space-group type = No. 166

a b c (Å): 6.784 6.784 6.784
angles (deg): 34.37 34.37 34.37
Positions (direct):
Li 0.000 0.000 0.000
Dy 0.500 0.500 0.500
Se 0.252 0.252 0.252
Se 0.748 0.748 0.748

---

(5)
A geometry-optimized LiDySe2 structure. Source: Alexandria, functional PBEsol.

## Properties
ΔE_f (raw) = -1623 meV per atom
theoretical density = 6.11 g/cm³
D(E_F) = 0.6 states/eV/cell
magnetization = 0.00 μB/f.u.
energy = -5.284 eV/atom
space-group type = No. 123

a b c (Å): 4.017 4.017 5.514
angles (deg): 90.00 90.00 90.00
Positions (direct):
Li 0.000 0.000 0.000
Dy 0.500 0.500 0.500
Se 0.000 0.000 0.500
Se 0.500 0.500 0.000

---

(6)
A geometry-optimized LiDySe2 structure. Source: Alexandria, functional PBEsol.

## Properties
ΔE_f (raw) = -1689 meV per atom
theoretical density = 6.07 g/cm³
D(E_F) = 0.0 states/eV/cell
magnetization = 0.00 μB/f.u.
energy = -5.351 eV/atom
space-group type = No. 141

a b c (Å): 6.934 6.934 6.934
angles (deg): 132.23 132.23 69.87
Positions (direct):
Li 0.375 0.625 0.750
Li 0.625 0.375 0.250
Dy 0.125 0.875 0.250
Dy 0.875 0.125 0.750
Se 0.123 0.373 0.750
Se 0.373 0.123 0.250
Se 0.627 0.877 0.750
Se 0.877 0.627 0.250

---

(7)
A geometry-optimized LiDyTl2 structure. Source: Alexandria, functional PBEsol.

## Properties
theoretical density = 10.30 g/cm³
calculated formation energy = -384 meV per atom
D(E_F) = 0.8 states/eV/cell
magnetization = 0.00 μB/f.u.
energy = -3.435 eV/atom
space-group type = No. 225

a b c (Å): 5.089 5.089 5.089
angles (deg): 60.00 60.00 60.00
Positions (direct):
Li 0.000 0.000 0.000
Dy 0.500 0.500 0.500
Tl 0.250 0.250 0.250
Tl 0.750 0.750 0.750

---

(8)
A geometry-optimized LiDy2Tl structure. Source: Alexandria, functional PBEsol.

## Properties
theoretical density = 8.95 g/cm³
calculated formation energy = -225 meV per atom
D(E_F) = 3.3 states/eV/cell
magnetization = 0.00 μB/f.u.
energy = -3.864 eV/atom
space-group type = No. 225

a b c (Å): 5.201 5.201 5.201
angles (deg): 60.00 60.00 60.00
Positions (direct):
Li 0.000 0.000 0.000
Dy 0.250 0.250 0.250
Dy 0.750 0.750 0.750
Tl 0.500 0.500 0.500

---

(9)
A geometry-optimized DyLuO3 structure. Source: Alexandria, functional PBEsol.

## Properties
ΔE_f (raw) = -3639 meV per atom
theoretical density = 9.81 g/cm³
D(E_F) = 0.0 states/eV/cell
magnetization = 0.00 μB/f.u.
energy = -8.759 eV/atom
space-group type = No. 62

a b c (Å): 5.804 8.138 5.524
angles (deg): 90.00 90.00 90.00
Positions (direct):
Dy 0.058 0.250 0.021
Dy 0.442 0.750 0.521
Dy 0.558 0.250 0.479
Dy 0.942 0.750 0.979
Lu 0.000 0.000 0.500
Lu 0.000 0.500 0.500
Lu 0.500 0.000 0.000
Lu 0.500 0.500 0.000
O 0.072 0.750 0.355
O 0.191 0.577 0.813
O 0.191 0.923 0.813
O 0.309 0.077 0.313
O 0.309 0.423 0.313
O 0.428 0.250 0.855
O 0.572 0.750 0.145
O 0.691 0.577 0.687
O 0.691 0.923 0.687
O 0.809 0.077 0.187
O 0.809 0.423 0.187
O 0.928 0.250 0.645

---

(10)
A geometry-optimized DyLuRh2 structure. Source: Alexandria, functional PBEsol.

## Properties
theoretical density = 12.18 g/cm³
calculated formation energy = -906 meV per atom
D(E_F) = 1.7 states/eV/cell
magnetization = 0.00 μB/f.u.
energy = -7.438 eV/atom
space-group type = No. 225

a b c (Å): 4.714 4.714 4.714
angles (deg): 60.00 60.00 60.00
Positions (direct):
Dy 0.000 0.000 0.000
Lu 0.500 0.500 0.500
Rh 0.250 0.250 0.250
Rh 0.750 0.750 0.750

---

(11)
A geometry-optimized DyLuTl2 structure. Source: Alexandria, functional PBEsol.

## Properties
theoretical density = 12.33 g/cm³
calculated formation energy = -377 meV per atom
D(E_F) = 3.6 states/eV/cell
magnetization = 0.00 μB/f.u.
energy = -4.155 eV/atom
space-group type = No. 225

a b c (Å): 5.219 5.219 5.219
angles (deg): 60.00 60.00 60.00
Positions (direct):
Dy 0.000 0.000 0.000
Lu 0.500 0.500 0.500
Tl 0.250 0.250 0.250
Tl 0.750 0.750 0.750

---

(12)
A geometry-optimized Dy5Mg structure. Source: Alexandria, functional PBEsol.

## Properties
theoretical density = 8.05 g/cm³
calculated formation energy = 21 meV per atom
D(E_F) = 9.0 states/eV/cell
E above lowest polymorph = 9 meV/atom
magnetization = 0.00 μB/f.u.
energy = -4.414 eV/atom
space-group type = No. 38

a b c (Å): 5.516 9.088 9.088
angles (deg): 22.25 90.00 90.00
Positions (direct):
Dy 0.000 0.000 0.000
Dy 0.000 0.331 0.331
Dy 0.000 0.662 0.662
Dy 0.500 0.214 0.214
Dy 0.500 0.882 0.882
Mg 0.500 0.550 0.550

---

(13)
A geometry-optimized Dy5Mg structure. Source: Alexandria, functional PBEsol.

## Properties
theoretical density = 8.12 g/cm³
calculated formation energy = 12 meV per atom
D(E_F) = 7.6 states/eV/cell
E above lowest polymorph = 0 meV/atom
magnetization = 0.00 μB/f.u.
energy = -4.423 eV/atom
space-group type = No. 155

a b c (Å): 6.470 6.470 6.470
angles (deg): 55.42 55.42 55.42
Positions (direct):
Dy 0.000 0.659 0.341
Dy 0.167 0.167 0.167
Dy 0.341 0.000 0.659
Dy 0.659 0.341 0.000
Dy 0.833 0.833 0.833
Mg 0.500 0.500 0.500

---

(14)
A geometry-optimized Dy2Mg structure. Source: Alexandria, functional PBEsol.

## Properties
theoretical density = 7.05 g/cm³
calculated formation energy = -51 meV per atom
D(E_F) = 6.6 states/eV/cell
magnetization = 0.00 μB/f.u.
energy = -3.942 eV/atom
space-group type = No. 63

a b c (Å): 8.655 8.655 5.385
angles (deg): 90.00 90.00 155.92
Positions (direct):
Dy 0.094 0.906 0.750
Dy 0.227 0.773 0.250
Dy 0.773 0.227 0.750
Dy 0.906 0.094 0.250
Mg 0.435 0.565 0.750
Mg 0.565 0.435 0.250

---

(15)
A geometry-optimized DyMg3 structure. Source: Alexandria, functional PBEsol.

## Properties
theoretical density = 4.02 g/cm³
calculated formation energy = -61 meV per atom
D(E_F) = 7.0 states/eV/cell
magnetization = 0.00 μB/f.u.
energy = -2.593 eV/atom
space-group type = No. 194

a b c (Å): 6.612 6.612 5.134
angles (deg): 90.00 90.00 120.00
Positions (direct):
Dy 0.333 0.667 0.250
Dy 0.667 0.333 0.750
Mg 0.164 0.328 0.750
Mg 0.164 0.836 0.750
Mg 0.328 0.164 0.250
Mg 0.672 0.836 0.750
Mg 0.836 0.164 0.250
Mg 0.836 0.672 0.250

---

(16)
A geometry-optimized Dy5Mg24 structure. Source: Alexandria, functional PBEsol.

## Properties
theoretical density = 3.33 g/cm³
calculated formation energy = -41 meV per atom
D(E_F) = 19.7 states/eV/cell
magnetization = 0.00 μB/f.u.
energy = -2.320 eV/atom
space-group type = No. 217

a b c (Å): 9.666 9.666 9.666
angles (deg): 109.47 109.47 109.47
Positions (direct):
Dy 0.000 0.000 0.000
Dy 0.000 0.000 0.373
Dy 0.000 0.373 0.000
Dy 0.373 0.000 0.000
Dy 0.627 0.627 0.627
Mg 0.000 0.324 0.610
Mg 0.000 0.610 0.324
Mg 0.000 0.629 0.809
Mg 0.000 0.809 0.629
Mg 0.180 0.371 0.371
Mg 0.191 0.191 0.820
Mg 0.191 0.820 0.191
Mg 0.287 0.676 0.676
Mg 0.324 0.000 0.610
Mg 0.324 0.610 0.000
Mg 0.371 0.180 0.371
Mg 0.371 0.371 0.180
Mg 0.390 0.390 0.713
Mg 0.390 0.713 0.390
Mg 0.610 0.000 0.324
Mg 0.610 0.324 0.000
Mg 0.629 0.000 0.809
Mg 0.629 0.809 0.000
Mg 0.676 0.287 0.676
Mg 0.676 0.676 0.287
Mg 0.713 0.390 0.390
Mg 0.809 0.000 0.629
Mg 0.809 0.629 0.000
Mg 0.820 0.191 0.191

---

(17)
A geometry-optimized DyMg5 structure. Source: Alexandria, functional PBEsol.

## Properties
theoretical density = 3.28 g/cm³
calculated formation energy = -6 meV per atom
D(E_F) = 3.4 states/eV/cell
magnetization = 0.00 μB/f.u.
energy = -2.267 eV/atom
space-group type = No. 12

a b c (Å): 6.182 6.182 7.018
angles (deg): 106.88 106.88 34.30
Positions (direct):
Dy 0.000 0.000 0.000
Mg 0.000 0.000 0.500
Mg 0.325 0.325 0.171
Mg 0.329 0.329 0.656
Mg 0.671 0.671 0.344
Mg 0.675 0.675 0.829

---

(18)
A geometry-optimized Dy3Mg structure. Source: Alexandria, functional PBEsol.

## Properties
theoretical density = 7.60 g/cm³
calculated formation energy = -23 meV per atom
D(E_F) = 4.6 states/eV/cell
magnetization = 0.00 μB/f.u.
energy = -4.186 eV/atom
space-group type = No. 123

a b c (Å): 3.487 3.487 9.201
angles (deg): 90.00 90.00 90.00
Positions (direct):
Dy 0.000 0.000 0.000
Dy 0.500 0.500 0.260
Dy 0.500 0.500 0.740
Mg 0.000 0.000 0.500

---

(19)
A geometry-optimized Dy3Mg2MnS8 structure. Source: Alexandria, functional PBEsol.

## Properties
ΔE_f (raw) = -1555 meV per atom
theoretical density = 4.44 g/cm³
D(E_F) = 2.4 states/eV/cell
magnetization = 4.00 μB/f.u.
energy = -6.069 eV/atom
space-group type = No. 166

a b c (Å): 7.599 7.599 7.599
angles (deg): 61.00 61.00 61.00
Positions (direct):
Dy 0.000 0.500 0.500
Dy 0.500 0.000 0.500
Dy 0.500 0.500 0.000
Mg 0.124 0.124 0.124
Mg 0.876 0.876 0.876
Mn 0.500 0.500 0.500
S 0.254 0.254 0.254
S 0.270 0.270 0.729
S 0.270 0.729 0.270
S 0.271 0.730 0.730
S 0.729 0.270 0.270
S 0.730 0.271 0.730
S 0.730 0.730 0.271
S 0.746 0.746 0.746

---

(20)
A geometry-optimized Dy2MgPd2 structure. Source: Alexandria, functional PBEsol.

## Properties
theoretical density = 8.73 g/cm³
calculated formation energy = -760 meV per atom
D(E_F) = 6.6 states/eV/cell
magnetization = 0.00 μB/f.u.
energy = -5.478 eV/atom
space-group type = No. 127

a b c (Å): 7.570 7.570 3.733
angles (deg): 90.00 90.00 90.00
Positions (direct):
Dy 0.168 0.332 0.000
Dy 0.332 0.832 0.000
Dy 0.668 0.168 0.000
Dy 0.832 0.668 0.000
Mg 0.000 0.000 0.500
Mg 0.500 0.500 0.500
Pd 0.132 0.632 0.500
Pd 0.368 0.132 0.500
Pd 0.632 0.868 0.500
Pd 0.868 0.368 0.500